Entry from the Alexandria database: an optimized crystal structure of TaV3C2 (PBE).

Computed properties:
energy relative to the elements = -41 kJ/mol of atoms
total DFT energy (no corrections) = -10.035 eV/atom

a b c (Å): 5.7415 5.7415 5.7415
angles (deg): 108.33 104.19 116.13
Last column: nearest neighbours and their distance in Å.
Fractional coordinates of all 12 atoms:
C (0.0000, 0.5000, 0.0000)  4 V 2.01-2.07, 2 Ta 2.13
C (0.5000, 0.0000, 0.0000)  4 V 2.01-2.07, 2 Ta 2.13
C (0.7672, 0.7500, 0.5172)  5 V 2.00-2.04, 1 Ta 2.16
C (0.2328, 0.2500, 0.4828)  5 V 2.00-2.04, 1 Ta 2.16
V (0.5000, 0.2992, 0.2992)  3 C 2.01-2.04
V (0.5000, 0.7008, 0.7008)  3 C 2.01-2.04
V (0.0000, 0.2008, 0.7008)  3 C 2.01-2.04
V (0.0000, 0.7992, 0.2992)  3 C 2.01-2.04
V (0.0512, 0.7500, 0.8012)  3 C 2.00-2.07
V (0.9488, 0.2500, 0.1988)  3 C 2.00-2.07
Ta (0.4616, 0.7500, 0.2116)  3 C 2.13-2.16
Ta (0.5384, 0.2500, 0.7884)  3 C 2.13-2.16

Entry from the Alexandria database: an optimized crystal structure of LiSiAg (PBE).

Computed properties:
offset from the most stable computed form = 0.002 eV per atom
total DFT energy (no corrections) = -3.495 eV/atom
formation energy from raw total energies = -0.298 eV per formula unit

a b c (Å): 4.4072 4.4072 2.8584
angles (deg): 90.00 90.00 120.00
Last column: nearest neighbours and their distance in Å.
Fractional coordinates of all 3 atoms:
Li (0.3333, 0.6667, 0.3334)  2 Li 2.86, 6 Si 2.92, 6 Ag 2.92
Si (0.6667, 0.3333, 0.8323)  3 Ag 2.54
Ag (0.0000, 0.0000, 0.8343)  3 Si 2.54

Entry from the Alexandria database: an optimized crystal structure of YTaRe3 (PBE).

Computed properties:
energy relative to the elements = 146 kJ/mol of atoms
offset from the most stable computed form = 0.000 eV per atom
total DFT energy (no corrections) = -9.621 eV/atom

a b c (Å): 4.8157 4.8157 4.8157
angles (deg): 90.00 90.00 90.00
Last column: nearest neighbours and their distance in Å.
Fractional coordinates of all 5 atoms:
Re (0.0000, 0.5000, 0.0000)  2 Ta 2.41
Re (0.5000, 0.0000, 0.0000)  2 Ta 2.41
Re (0.0000, 0.0000, 0.5000)  2 Ta 2.41
Y (0.5000, 0.5000, 0.5000)  12 Re 3.41
Ta (0.0000, 0.0000, 0.0000)  6 Re 2.41

Entry from the Alexandria database: an optimized crystal structure of Nd8IrSe4S3 (PBE).

Computed properties:
total DFT energy (no corrections) = -6.356 eV/atom
formation energy from raw total energies = -28.374 eV per formula unit

a b c (Å): 8.3404 8.3951 8.3402
angles (deg): 119.79 120.00 90.00
Last column: nearest neighbours and their distance in Å.
Fractional coordinates of all 16 atoms:
Nd (0.2410, 0.7320, 0.9911)  1 Ir 2.85, 2 S 2.91, 3 Se 3.01-3.07
Nd (0.7501, 0.7320, 0.9911)  1 Ir 2.85, 2 S 2.91, 3 Se 3.01-3.07
Nd (0.7590, 0.2680, 0.5181)  1 Ir 2.85, 2 S 2.91, 3 Se 3.01-3.07
Nd (0.7590, 0.2680, 0.0089)  1 Ir 2.85, 2 S 2.91, 3 Se 3.01-3.07
Nd (0.2499, 0.2680, 0.0089)  1 Ir 2.85, 2 S 2.91, 3 Se 3.01-3.07
Nd (0.2410, 0.7320, 0.4819)  1 Ir 2.85, 2 S 2.91, 3 Se 3.01-3.07
Nd (0.2555, 0.2667, 0.5111)  3 S 2.89, 3 Se 3.03
Nd (0.7445, 0.7333, 0.4889)  3 S 2.89, 3 Se 3.03
Se (0.5000, 0.0000, 0.5000)  6 Nd 3.01-3.03
Se (0.0000, 0.0000, 0.0000)  6 Nd 3.01-3.03
Se (0.5000, 0.0000, 0.0000)  6 Nd 3.07
Se (0.0000, 0.0000, 0.5000)  6 Nd 3.01-3.03
S (0.0000, 0.5000, 0.5000)  6 Nd 2.89-2.91
S (0.5000, 0.5000, 0.5000)  6 Nd 2.89-2.91
S (0.5000, 0.5000, 0.0000)  6 Nd 2.89-2.91
Ir (0.0000, 0.5000, 0.0000)  6 Nd 2.85

Entry from the Alexandria database: an optimized crystal structure of KGeBr3 (PBE).

Computed properties:
total DFT energy (no corrections) = -3.154 eV/atom
formation energy from raw total energies = -5.038 eV per formula unit

a b c (Å): 18.5912 8.6634 8.6634
angles (deg): 151.74 146.07 33.93
Last column: nearest neighbours and their distance in Å.
Fractional coordinates of all 10 atoms:
Br (0.9926, 0.3676, 0.6324)  3 Ge 2.83-3.15
Br (0.6732, 0.0767, 0.9233)  2 Ge 2.91
Br (0.0074, 0.6324, 0.3676)  3 Ge 2.83-3.15
Br (0.3268, 0.9233, 0.0767)  2 Ge 2.91
Br (0.6701, 0.3834, 0.6166)  1 Ge 2.64
Br (0.3299, 0.6166, 0.3834)  1 Ge 2.64
K (0.3949, 0.2099, 0.7901)  7 Br 3.34-3.57
K (0.6051, 0.7901, 0.2099)  7 Br 3.34-3.57
Ge (0.1618, 0.6518, 0.3482)  5 Br 2.64-2.91
Ge (0.8382, 0.3482, 0.6518)  5 Br 2.64-2.91

Entry from the Alexandria database: an optimized crystal structure of CaHg2Rh (PBE).

Computed properties:
energy relative to the elements = -27 kJ/mol of atoms
total DFT energy (no corrections) = -2.768 eV/atom

a b c (Å): 4.2107 11.6172 7.5695
angles (deg): 90.00 90.00 90.00
Last column: nearest neighbours and their distance in Å.
Fractional coordinates of all 16 atoms:
Rh (0.0000, 0.8503, 0.0412)  5 Hg 2.75-2.86, 2 Ca 3.05
Rh (0.0000, 0.6497, 0.5412)  5 Hg 2.75-2.86, 2 Ca 3.05
Rh (0.0000, 0.3503, 0.5412)  5 Hg 2.75-2.86, 2 Ca 3.05
Rh (0.0000, 0.1497, 0.0412)  5 Hg 2.75-2.86, 2 Ca 3.05
Hg (0.5000, 0.5000, 0.4587)  4 Rh 2.80
Hg (0.0000, 0.5000, 0.8228)  2 Rh 2.75, 2 Hg 2.98
Hg (0.0000, 0.8727, 0.6650)  2 Rh 2.76-2.86, 2 Hg 2.96-2.98
Hg (0.0000, 0.3727, 0.1650)  2 Rh 2.76-2.86, 2 Hg 2.96-2.98
Hg (0.0000, 0.0000, 0.3228)  2 Rh 2.75, 2 Hg 2.98
Hg (0.0000, 0.6273, 0.1650)  2 Rh 2.76-2.86, 2 Hg 2.96-2.98
Hg (0.5000, 0.0000, 0.9587)  4 Rh 2.80
Hg (0.0000, 0.1273, 0.6650)  2 Rh 2.76-2.86, 2 Hg 2.96-2.98
Ca (0.5000, 0.2094, 0.3452)  4 Rh 3.05-3.20, 6 Hg 3.15-3.35
Ca (0.5000, 0.7094, 0.8452)  4 Rh 3.05-3.20, 6 Hg 3.15-3.35
Ca (0.5000, 0.2906, 0.8452)  4 Rh 3.05-3.20, 6 Hg 3.15-3.35
Ca (0.5000, 0.7906, 0.3452)  4 Rh 3.05-3.20, 6 Hg 3.15-3.35

Entry from the Alexandria database: an optimized crystal structure of CoCuOs2 (PBE).

Computed properties:
energy relative to the elements = 44 kJ/mol of atoms
offset from the most stable computed form = 0.223 eV per atom
total DFT energy (no corrections) = -7.962 eV/atom

a b c (Å): 2.6199 2.6199 8.8554
angles (deg): 90.00 90.00 117.61
Last column: nearest neighbours and their distance in Å.
Fractional coordinates of all 4 atoms:
Cu (0.5000, 0.5000, 0.7500)  6 Cu 2.62-2.71, 4 Os 2.65
Os (0.0000, 0.0000, 0.0067)  2 Co 2.55, 6 Os 2.62-2.71, 2 Cu 2.65
Os (0.0000, 0.0000, 0.4933)  2 Co 2.55, 6 Os 2.62-2.71, 2 Cu 2.65
Co (0.5000, 0.5000, 0.2500)  4 Os 2.55, 6 Co 2.62-2.71

Entry from the Alexandria database: an optimized crystal structure of Cs2InGaCl6 (PBE).

Computed properties:
total DFT energy (no corrections) = -3.301 eV/atom
formation energy from raw total energies = -14.454 eV per formula unit

a b c (Å): 7.7200 7.7200 7.7200
angles (deg): 60.00 60.00 60.00
Last column: nearest neighbours and their distance in Å.
Fractional coordinates of all 10 atoms:
Cl (0.2650, 0.7350, 0.7350)  1 In 2.57
Cl (0.7350, 0.2650, 0.7350)  1 In 2.57
Cl (0.2650, 0.2650, 0.7350)  1 In 2.57
Cl (0.2650, 0.7350, 0.2650)  1 In 2.57
Cl (0.7350, 0.2650, 0.2650)  1 In 2.57
Cl (0.7350, 0.7350, 0.2650)  1 In 2.57
Cs (0.2500, 0.2500, 0.2500)  12 Cl 3.86
Cs (0.7500, 0.7500, 0.7500)  12 Cl 3.86
In (0.5000, 0.5000, 0.5000)  6 Cl 2.57
Ga (0.0000, 0.0000, 0.0000)  6 Cl 2.89

Entry from the Alexandria database: an optimized crystal structure of Na2CaAg2Hg2 (PBE).

Computed properties:
energy relative to the elements = -21 kJ/mol of atoms
total DFT energy (no corrections) = -1.780 eV/atom

a b c (Å): 4.9731 4.9731 8.6625
angles (deg): 73.32 73.32 60.00
Last column: nearest neighbours and their distance in Å.
Fractional coordinates of all 7 atoms:
Ag (0.4024, 0.4024, 0.7927)  3 Hg 2.87
Ag (0.5976, 0.5976, 0.2073)  3 Hg 2.87
Na (0.8633, 0.8633, 0.4101)  4 Hg 3.22-3.36, 3 Na 3.23, 3 Ag 3.32, 1 Ca 3.35
Na (0.1367, 0.1367, 0.5899)  4 Hg 3.22-3.36, 3 Na 3.23, 3 Ag 3.32, 1 Ca 3.35
Ca (0.0000, 0.0000, 0.0000)  6 Hg 3.29, 6 Ag 3.33, 2 Na 3.35
Hg (0.7321, 0.7321, 0.8036)  3 Ag 2.87, 1 Na 3.22
Hg (0.2679, 0.2679, 0.1964)  3 Ag 2.87, 1 Na 3.22

Entry from the Alexandria database: an optimized crystal structure of RbLiTi2Te (PBE).

Computed properties:
total DFT energy (no corrections) = -3.833 eV/atom
formation energy from raw total energies = 2.647 eV per formula unit

a b c (Å): 5.3934 5.3934 5.6538
angles (deg): 90.00 90.00 90.00
Last column: nearest neighbours and their distance in Å.
Fractional coordinates of all 5 atoms:
Ti (0.5000, 0.0000, 0.0000)  2 Te 2.70
Ti (0.0000, 0.5000, 0.0000)  2 Te 2.70
Rb (0.5000, 0.5000, 0.5000)  4 Li 3.81, 8 Ti 3.91
Li (0.0000, 0.0000, 0.5000)  2 Te 2.83
Te (0.0000, 0.0000, 0.0000)  4 Ti 2.70, 2 Li 2.83

Entry from the Alexandria database: an optimized crystal structure of K3SmSb2O6 (PBE).

Computed properties:
total DFT energy (no corrections) = -5.814 eV/atom
formation energy from raw total energies = -23.759 eV per formula unit

a b c (Å): 6.2035 6.2035 7.2396
angles (deg): 90.00 90.00 120.00
Last column: nearest neighbours and their distance in Å.
Fractional coordinates of all 12 atoms:
K (0.3333, 0.6667, 0.6456)  9 O 2.99-3.12
K (0.6667, 0.3333, 0.3544)  9 O 2.99-3.12
K (0.0000, 0.0000, 0.0000)  6 O 2.90
O (0.3475, 0.1737, 0.6930)  1 Sb 1.96
O (0.8263, 0.6525, 0.6930)  1 Sb 1.96
O (0.1737, 0.3475, 0.3070)  1 Sb 1.96
O (0.1737, 0.8263, 0.3070)  1 Sb 1.96
O (0.6525, 0.8263, 0.3070)  1 Sb 1.96
O (0.8263, 0.1737, 0.6930)  1 Sb 1.96
Sb (0.3333, 0.6667, 0.1760)  3 O 1.96
Sb (0.6667, 0.3333, 0.8240)  3 O 1.96
Sm (0.0000, 0.0000, 0.5000)  6 O 2.33

Entry from the Alexandria database: an optimized crystal structure of Ni2SeS (PBE).

Computed properties:
offset from the most stable computed form = 0.435 eV per atom
total DFT energy (no corrections) = -4.638 eV/atom
formation energy from raw total energies = 0.624 eV per formula unit

a b c (Å): 4.2468 4.2468 4.2468
angles (deg): 60.00 60.00 60.00
Last column: nearest neighbours and their distance in Å.
Fractional coordinates of all 4 atoms:
S (0.0000, 0.0000, 0.0000)  8 Ni 2.60
Ni (0.7500, 0.7500, 0.7500)  4 S 2.60, 4 Se 2.60
Ni (0.2500, 0.2500, 0.2500)  4 S 2.60, 4 Se 2.60
Se (0.5000, 0.5000, 0.5000)  8 Ni 2.60

Q: Which value of total DFT energy (no corrections) does entry 8 give?
A: -3.301 eV/atom